La2PmCo | PBE-GGA | optimized geometry

## Properties
**Space-group type**: R-3m
**Formation energy from the elements**: 0.14 eV per atom
**Distance to the lowest polymorph of the same formula**: 0.92 eV per formula unit

Unit cell a=10.670 b=10.670 c=10.670 alpha=20.36 beta=20.36 gamma=20.36
Atoms (fractional coordinates):
La (0.114, 0.114, 0.114)
La (0.886, 0.886, 0.886)
Pm (0.000, 0.000, 0.000)
Co (0.500, 0.500, 0.500)